## CaMnTc2 (PBE)

Data for a relaxed structure of CaMnTc2.

Results
Total magnetization   0.01 Bohr magnetons per cell
DFT total energy   -29.007 eV for the cell shown
Offset from the most stable computed form   0.400 eV/atom
Calculated formation energy   724 meV/atom

Lattice parameters (Å, degrees): 4.413 4.413 4.413 60.00 60.00 60.00
Positions (direct):
Ca 0.000 0.000 0.000
Mn 0.500 0.500 0.500
Tc 0.250 0.250 0.250
Tc 0.750 0.750 0.750

---

## Ho3BeB2Pt8 (PBE)

Data for a relaxed structure of Ho3BeB2Pt8.

Results
Total magnetization   0.00 Bohr magnetons per cell
DFT total energy   -90.309 eV for the cell shown
Calculated formation energy   -798 meV/atom

Lattice parameters (Å, degrees): 5.433 5.433 9.245 90.00 90.00 120.00
Positions (direct):
Ho 0.333 0.667 0.582
Ho 0.667 0.333 0.418
Ho 0.000 0.000 0.000
Be 0.000 0.000 0.500
B 0.333 0.667 0.139
B 0.667 0.333 0.861
Pt 0.333 0.667 0.925
Pt 0.667 0.333 0.075
Pt 0.165 0.835 0.292
Pt 0.835 0.165 0.708
Pt 0.165 0.330 0.292
Pt 0.835 0.670 0.708
Pt 0.670 0.835 0.292
Pt 0.330 0.165 0.708